## A
{
  "formula": "LiScCd",
  "functional": "PBE-GGA",
  "state": "optimized geometry",
  "lattice": [[3.2984, 0.2708, 0.0001], [-0.3851, 4.6907, 0.0001], [-0.0002, -0.0003, 8.2243]],
  "species": ["Li", "Li", "Sc", "Sc", "Cd", "Cd"],
  "frac_coords": [[0.3726, 0.6103, 0.9065], [0.8726, 0.1103, 0.9809], [0.3726, 0.1103, 0.3249], [0.8726, 0.6103, 0.5625], [0.8726, 0.6103, 0.1965], [0.3726, 0.1103, 0.6908]],
  "spacegroup": "Pmmn (59)",
  "m_tot_mub_per_fu": 0.00
}

## B
{
  "formula": "LiScCd",
  "functional": "PBE-GGA",
  "state": "optimized geometry",
  "lattice": [[-2.6464, -0.0944, 4.7371], [2.3835, -0.5414, 4.8454], [0.3564, 2.8274, -4.6186]],
  "species": ["Cd", "Sc", "Li"],
  "frac_coords": [[0.9898, 0.9898, 0.0000], [0.6656, 0.6656, 0.0000], [0.3446, 0.3446, 0.0000]],
  "spacegroup": "I4mm (107)",
  "m_tot_mub_per_fu": 0.33
}

A wins, 0.036 eV/atom ahead of the next structure.

## A
{
  "formula": "LiScCd",
  "functional": "PBE-GGA",
  "state": "optimized geometry",
  "lattice": [[4.8414, 0.0000, 0.0000], [-2.4207, 4.1928, 0.0000], [0.0000, 0.0000, 3.0296]],
  "species": ["Sc", "Cd", "Li"],
  "frac_coords": [[0.3333, 0.6667, 0.6660], [0.0000, 0.0000, 0.1645], [0.6667, 0.3333, 0.1695]],
  "spacegroup": "P3m1 (156)",
  "m_tot_mub_per_fu": 0.01
}

## B
{
  "formula": "LiScCd",
  "functional": "PBE-GGA",
  "state": "optimized geometry",
  "lattice": [[-1.0177, -2.4926, -1.7094], [2.6750, -0.2321, 1.7208], [-3.9759, -2.3939, 5.8578]],
  "species": ["Cd", "Li", "Sc"],
  "frac_coords": [[0.0000, 0.0000, 0.0104], [0.6667, 0.3333, 0.3185], [0.3333, 0.6667, 0.6712]],
  "spacegroup": "P3m1 (156)",
  "m_tot_mub_per_fu": 0.00
}

A wins, 0.111 eV/atom ahead of the next structure.

## A
{
  "formula": "LiZrScCd",
  "functional": "PBE-GGA",
  "state": "optimized geometry",
  "lattice": [[-2.9010, 1.1634, -0.1672], [-1.1091, -2.8571, -0.6355], [0.8485, -0.7290, 9.5039]],
  "species": ["Sc", "Cd", "Li", "Zr"],
  "frac_coords": [[0.5598, 0.5598, 0.1197], [0.9396, 0.9396, 0.8792], [0.3372, 0.3372, 0.6744], [0.1755, 0.1755, 0.3510]],
  "spacegroup": "I4mm (107)",
  "m_tot_mub_per_fu": 0.00
}

## B
{
  "formula": "LiZrScCd",
  "functional": "PBE-GGA",
  "state": "optimized geometry",
  "lattice": [[4.9254, 0.0000, 0.0000], [2.4627, 4.2655, 0.0000], [2.4627, 1.4218, 4.0215]],
  "species": ["Li", "Sc", "Zr", "Cd"],
  "frac_coords": [[0.2500, 0.2500, 0.2500], [0.0000, 0.0000, 0.0000], [0.5000, 0.5000, 0.5000], [0.7500, 0.7500, 0.7500]],
  "spacegroup": "F-43m (216)",
  "m_tot_mub_per_fu": 1.06
}

A wins, 0.024 eV/atom ahead of the next structure.

## A
{
  "formula": "Li3CdSe",
  "functional": "PBE-GGA",
  "state": "optimized geometry",
  "lattice": [[-3.8766, 2.5118, 1.7376], [-1.1376, -3.7931, 2.9452], [2.8344, 1.9129, 3.5585]],
  "species": ["Li", "Li", "Li", "Se", "Cd"],
  "frac_coords": [[0.0000, 0.0000, 0.5000], [0.0000, 0.5000, 0.0000], [0.5000, 0.0000, 0.0000], [0.5000, 0.5000, 0.5000], [0.0000, 0.0000, 0.0000]],
  "spacegroup": "Pm-3m (221)",
  "m_tot_mub_per_fu": 0.00
}

## B
{
  "formula": "Li3CdSe",
  "functional": "PBE-GGA",
  "state": "optimized geometry",
  "lattice": [[-2.0001, -4.3689, 0.7814], [4.1452, -1.5326, 2.0411], [-1.5858, 1.5040, 4.3499]],
  "species": ["Se", "Li", "Li", "Li", "Cd"],
  "frac_coords": [[0.0000, 0.0000, 0.0000], [0.5000, 0.0000, 0.0000], [0.0000, 0.5000, 0.0000], [0.0000, 0.0000, 0.5000], [0.5000, 0.5000, 0.5000]],
  "spacegroup": "Pm-3m (221)",
  "m_tot_mub_per_fu": 0.00
}

B wins, 0.593 eV/atom ahead of the next structure.

## A
{
  "formula": "Li2CdSi2",
  "functional": "PBE-GGA",
  "state": "optimized geometry",
  "lattice": [[-2.9137, 0.1877, 2.5892], [2.5381, -0.6114, 2.9005], [0.6285, 5.5523, 3.2455]],
  "species": ["Si", "Si", "Li", "Li", "Cd"],
  "frac_coords": [[0.5971, 0.5971, 0.8057], [0.4029, 0.4029, 0.1943], [0.2500, 0.7500, 0.5000], [0.7500, 0.2500, 0.5000], [0.0000, 0.0000, 0.0000]],
  "spacegroup": "I4/mmm (139)",
  "m_tot_mub_per_fu": 0.00
}

## B
{
  "formula": "Li2CdSi2",
  "functional": "PBE-GGA",
  "state": "optimized geometry",
  "lattice": [[-3.8589, 3.1870, 6.1554], [-6.8374, -0.5933, -3.9793], [-0.3824, -2.4326, 1.0198]],
  "species": ["Li", "Li", "Li", "Li", "Si", "Si", "Si", "Si", "Cd", "Cd"],
  "frac_coords": [[0.6135, 0.1135, 0.0000], [0.1135, 0.3865, 0.0000], [0.8865, 0.6135, 0.0000], [0.3865, 0.8865, 0.0000], [0.1837, 0.6837, 0.5000], [0.3163, 0.1837, 0.5000], [0.6837, 0.8163, 0.5000], [0.8163, 0.3163, 0.5000], [0.5000, 0.5000, 0.0000], [0.0000, 0.0000, 0.0000]],
  "spacegroup": "P4/mbm (127)",
  "m_tot_mub_per_fu": 0.00
}

## C
{
  "formula": "Li2CdSi2",
  "functional": "PBE-GGA",
  "state": "optimized geometry",
  "lattice": [[-2.8390, 5.8871, -3.4241], [-2.6730, -4.3752, -5.3061], [-2.6071, -0.3335, 1.5883]],
  "species": ["Si", "Si", "Si", "Si", "Li", "Li", "Li", "Li", "Cd", "Cd"],
  "frac_coords": [[0.8892, 0.6108, 0.0000], [0.6108, 0.1108, 0.0000], [0.3892, 0.8892, 0.0000], [0.1108, 0.3892, 0.0000], [0.6870, 0.8130, 0.5000], [0.3130, 0.1870, 0.5000], [0.8130, 0.3130, 0.5000], [0.1870, 0.6870, 0.5000], [0.0000, 0.0000, 0.0000], [0.5000, 0.5000, 0.0000]],
  "spacegroup": "P4/mbm (127)",
  "m_tot_mub_per_fu": 0.00
}

C wins, 0.116 eV/atom ahead of the next structure.

## A
{
  "formula": "Li4CdSi",
  "functional": "PBE-GGA",
  "state": "optimized geometry",
  "lattice": [[4.4335, -0.0197, -0.0228], [-2.2010, 3.8448, -0.1972], [0.0292, 0.2987, 5.4820]],
  "species": ["Si", "Cd", "Li", "Li", "Li", "Li"],
  "frac_coords": [[0.0039, 0.4994, 0.4981], [0.0042, 0.4994, 0.9981], [0.3374, 0.1660, 0.2744], [0.6706, 0.8329, 0.7219], [0.6706, 0.8325, 0.2746], [0.3373, 0.1663, 0.7217]],
  "spacegroup": "P6/mmm (191)",
  "m_tot_mub_per_fu": 0.00
}

## B
{
  "formula": "Li4CdSi",
  "functional": "PBE-GGA",
  "state": "optimized geometry",
  "lattice": [[-4.2685, -2.8161, -0.7021], [-3.5927, 1.5540, -3.3647], [-0.6904, -2.5833, -4.4151]],
  "species": ["Cd", "Li", "Li", "Li", "Li", "Si"],
  "frac_coords": [[0.0000, 0.0000, 0.0000], [0.3760, 0.3760, 0.3760], [0.3760, 0.8719, 0.3760], [0.3760, 0.3760, 0.8719], [0.8719, 0.3760, 0.3760], [0.7500, 0.7500, 0.7500]],
  "spacegroup": "F-43m (216)",
  "m_tot_mub_per_fu": 0.50
}

A wins, 0.268 eV/atom ahead of the next structure.